CdRhSN2 | PBE | optimized geometry

abc: 3.811 3.811 5.395
angles: 90.00 90.00 90.00
Element x y z (fractional)
1 Cd 0.000 0.000 0.000
2 Rh 0.500 0.500 0.500
3 S 0.500 0.500 0.000
4 N 0.000 0.500 0.500
5 N 0.500 0.000 0.500

## Properties
crystal system	tetragonal
V	15.7	Å³ per atom
offset from the most stable computed form	0	meV per atom
raw formation energy	0.845	eV/atom
space group	No. 123